1.
First-principles (PBE) data for a geometry-optimized SrGa2IrPt structure, as listed in OQMD via LeMat-Bulk.

Unit cell a=4.385 b=4.385 c=10.308 alpha=90.00 beta=90.00 gamma=90.00
Positions (direct):
Pt: 0.500 0.000 0.371
Ga: 0.000 0.500 0.880
Ga: 0.000 0.000 0.500
Ga: 0.500 0.500 0.500
Pt: 0.000 0.500 0.629
Ir: 0.500 0.500 0.000
Ir: 0.000 0.000 0.000
Ga: 0.500 0.000 0.120
Sr: 0.000 0.500 0.239
Sr: 0.500 0.000 0.761

Results
For the magnetization, the calculation gives 0.001 μB/atom. As for the space group: No. 129. Its total energy is -5.26 eV/atom. The value obtained for the density is 10.29 g cm⁻³.

2.
First-principles (PBE) data for a geometry-optimized SrGa2IrPt structure, as listed in OQMD via LeMat-Bulk.

Unit cell a=4.401 b=4.401 c=10.247 alpha=90.00 beta=90.00 gamma=90.00
Positions (direct):
Ir: 0.500 0.000 0.626
Pt: 0.500 0.500 0.000
Sr: 0.000 0.500 0.752
Sr: 0.500 0.000 0.248
Ga: 0.000 0.000 0.500
Ir: 0.000 0.500 0.374
Ga: 0.500 0.500 0.500
Pt: 0.000 0.000 0.000
Ga: 0.000 0.500 0.130
Ga: 0.500 0.000 0.870

Results
For the magnetization, the calculation gives 0.001 μB/atom. As for the space group: No. 129. Its total energy is -5.23 eV/atom. The value obtained for the density is 10.28 g cm⁻³.

3.
First-principles (PBE) data for a geometry-optimized Tm2Ga4IrPt structure, as listed in OQMD via LeMat-Bulk.

Unit cell a=6.778 b=5.456 c=5.456 alpha=46.23 beta=90.00 gamma=90.00
Positions (direct):
Ir: 0.000 0.293 0.293
Ga: 0.196 0.868 0.868
Tm: 0.500 0.418 0.418
Ga: 0.699 0.132 0.132
Ga: 0.804 0.868 0.868
Ga: 0.301 0.132 0.132
Pt: 0.500 0.707 0.707
Tm: 0.000 0.582 0.582

Results
For the magnetization, the calculation gives 0.004 μB/atom. As for the space group: No. 38. Its total energy is -5.34 eV/atom. The value obtained for the density is 11.44 g cm⁻³.

4.
First-principles (PBE) data for a geometry-optimized PuGaIr structure, as listed in OQMD via LeMat-Bulk.

Unit cell a=4.538 b=4.538 c=4.538 alpha=60.00 beta=60.00 gamma=60.00
Positions (direct):
Ga: 0.750 0.750 0.750
Pu: 0.250 0.250 0.250
Ir: 0.000 0.000 0.000

Results
For the magnetization, the calculation gives 1.726 μB/atom. As for the space group: No. 216. Its total energy is -9.11 eV/atom. The value obtained for the density is 12.72 g cm⁻³.

5.
First-principles (PBE) data for a geometry-optimized RbGaIr structure, as listed in OQMD via LeMat-Bulk.

Unit cell a=5.169 b=5.169 c=5.169 alpha=60.00 beta=60.00 gamma=60.00
Positions (direct):
Ga: 0.250 0.250 0.250
Ir: 0.750 0.750 0.750
Rb: 0.000 0.000 0.000

Results
For the magnetization, the calculation gives 0.339 μB/atom. As for the space group: No. 216. Its total energy is -2.59 eV/atom. The value obtained for the density is 5.91 g cm⁻³.

6.
First-principles (PBE) data for a geometry-optimized RbGaIr structure, as listed in OQMD via LeMat-Bulk.

Unit cell a=4.751 b=4.751 c=4.751 alpha=60.00 beta=60.00 gamma=60.00
Positions (direct):
Ga: 0.250 0.250 0.250
Rb: 0.750 0.750 0.750
Ir: 0.000 0.000 0.000

Results
For the magnetization, the calculation gives 0.028 μB/atom. As for the space group: No. 216. Its total energy is -3.48 eV/atom. The value obtained for the density is 7.61 g cm⁻³.

7.
First-principles (PBE) data for a geometry-optimized RbGaIr structure, as listed in OQMD via LeMat-Bulk.

Unit cell a=4.759 b=4.759 c=4.759 alpha=60.00 beta=60.00 gamma=60.00
Positions (direct):
Rb: 0.750 0.750 0.750
Ir: 0.250 0.250 0.250
Ga: 0.000 0.000 0.000

Results
For the magnetization, the calculation gives 0.102 μB/atom. As for the space group: No. 216. Its total energy is -3.36 eV/atom. The value obtained for the density is 7.57 g cm⁻³.

8.
First-principles (PBE) data for a geometry-optimized RbGa9Ir2 structure, as listed in OQMD via LeMat-Bulk.

Unit cell a=8.278 b=8.278 c=3.992 alpha=90.00 beta=90.00 gamma=120.00
Positions (direct):
Rb: 0.000 0.000 0.000
Ga: 0.000 0.500 0.000
Ga: 0.589 0.794 0.500
Ga: 0.500 0.500 0.000
Ga: 0.794 0.589 0.500
Ir: 0.333 0.667 0.000
Ga: 0.206 0.794 0.500
Ga: 0.500 0.000 0.000
Ga: 0.794 0.206 0.500
Ga: 0.206 0.411 0.500
Ga: 0.411 0.206 0.500
Ir: 0.667 0.333 0.000

Results
For the magnetization, the calculation gives 0.001 μB/atom. As for the space group: No. 191. Its total energy is -4.14 eV/atom. The value obtained for the density is 7.69 g cm⁻³.